1.
{"formula": "LiY2CoH6", "functional": "PBE", "state": "relaxed", "sg": "No. 225", "magnetic_moment_mub_per_cell": 0.006, "energy_ev_per_atom": -4.63, "cell": [[0.000, 3.530, 3.530], [3.530, 0.000, 3.530], [3.530, 3.530, 0.000]], "species": ["Li", "Y", "Y", "Co", "H", "H", "H", "H", "H", "H"], "fractional_positions": [[0.000, 0.000, 0.000], [0.250, 0.250, 0.250], [0.750, 0.750, 0.750], [0.500, 0.500, 0.500], [0.266, 0.266, 0.734], [0.266, 0.734, 0.266], [0.266, 0.734, 0.734], [0.734, 0.266, 0.266], [0.734, 0.266, 0.734], [0.734, 0.734, 0.266]]}

---

2.
{"formula": "YEr2Tm4Cu2Te2", "functional": "PBE", "state": "relaxed", "sg": "No. 44", "magnetic_moment_mub_per_cell": 0.100, "energy_ev_per_atom": -4.87, "cell": [[-1.967, 7.669, 4.748], [1.967, -7.669, 4.748], [1.967, 7.669, -4.748]], "species": ["Y", "Er", "Er", "Tm", "Tm", "Tm", "Tm", "Cu", "Cu", "Te", "Te"], "fractional_positions": [[0.000, 0.000, 0.000], [0.617, 0.262, 0.355], [0.907, 0.262, 0.645], [0.285, 0.415, 0.869], [0.305, 0.620, 0.685], [0.546, 0.415, 0.131], [0.935, 0.620, 0.315], [0.164, 0.927, 0.238], [0.689, 0.927, 0.762], [0.265, 0.765, 0.500], [0.661, 0.661, 0.000]]}